A relaxed Na2YPaTe4 crystal, computed with GGA-PBE.

Theoretical density, Mg/m³: 5.69
Formation energy without anion corrections, eV/atom: -1.07

CIF file:
```
data_Na2YPaTe4
_chemical_formula_sum 'Na2 Y1 Pa1 Te4'
_cell_length_a 7.631
_cell_length_b 4.353
_cell_length_c 8.090
_cell_angle_alpha 90.00
_cell_angle_beta 107.94
_cell_angle_gamma 90.00
_space_group_name_H-M_alt 'P 1 2/m 1'
_space_group_IT_number 10
_space_group_name_Hall '-P 2y'
loop_
_atom_site_label
_atom_site_fract_x
_atom_site_fract_y
_atom_site_fract_z
Na1 0.000 0.000 0.000
Na2 0.500 0.500 0.000
Y1 0.000 0.500 0.500
Pa1 0.500 0.000 0.500
Te1 0.244 0.000 0.735
Te2 0.251 0.500 0.262
```

=====

A relaxed PmCu2As crystal, computed with GGA-PBE.

Theoretical density, Mg/m³: 7.61
Formation energy, eV/atom: -0.30

CIF file:
```
data_PmCu2As
_chemical_formula_sum 'Pm1 Cu2 As1'
_cell_length_a 4.105
_cell_length_b 4.105
_cell_length_c 4.495
_cell_angle_alpha 90.00
_cell_angle_beta 90.00
_cell_angle_gamma 90.00
_space_group_name_H-M_alt 'P 4/m m m'
_space_group_IT_number 123
_space_group_name_Hall '-P 4 2'
loop_
_atom_site_label
_atom_site_fract_x
_atom_site_fract_y
_atom_site_fract_z
Pm1 0.000 0.000 0.000
Cu1 0.000 0.500 0.500
As1 0.500 0.500 0.000
```

=====

A relaxed TlPIN2 crystal, computed with GGA-PBE.

Theoretical density, Mg/m³: 4.78
Formation energy without anion corrections, eV/atom: 2.06
Energy above the most stable polymorph in this dataset, meV/atom: 651

CIF file:
```
data_TlPIN2
_chemical_formula_sum 'Tl1 P1 I1 N2'
_cell_length_a 4.236
_cell_length_b 4.236
_cell_length_c 7.551
_cell_angle_alpha 90.00
_cell_angle_beta 90.00
_cell_angle_gamma 90.00
_space_group_name_H-M_alt 'P 4/m m m'
_space_group_IT_number 123
_space_group_name_Hall '-P 4 2'
loop_
_atom_site_label
_atom_site_fract_x
_atom_site_fract_y
_atom_site_fract_z
Tl1 0.000 0.000 0.000
P1 0.500 0.500 0.500
I1 0.000 0.000 0.500
N1 0.000 0.500 0.000
```

=====

A relaxed In2Fe crystal, computed with GGA-PBE.

Theoretical density, Mg/m³: 7.69
Formation energy, eV/atom: 0.25

CIF file:
```
data_In2Fe
_chemical_formula_sum 'In8 Fe4'
_cell_length_a 3.260
_cell_length_b 17.708
_cell_length_c 4.270
_cell_angle_alpha 90.00
_cell_angle_beta 90.00
_cell_angle_gamma 90.00
_space_group_name_H-M_alt 'C m c m'
_space_group_IT_number 63
_space_group_name_Hall '-C 2c 2'
loop_
_atom_site_label
_atom_site_fract_x
_atom_site_fract_y
_atom_site_fract_z
In1 0.000 0.079 0.250
In2 0.000 0.200 0.750
Fe1 0.000 0.455 0.250
```

=====

A relaxed Nb4SiB crystal, computed with GGA-PBE.

Theoretical density, Mg/m³: 7.47
Formation energy without anion corrections, eV/atom: -0.57
Energy above the most stable polymorph in this dataset, meV/atom: 0

CIF file:
```
data_Nb4SiB
_chemical_formula_sum 'Nb8 Si2 B2'
_cell_length_a 6.015
_cell_length_b 6.015
_cell_length_c 5.044
_cell_angle_alpha 90.00
_cell_angle_beta 90.00
_cell_angle_gamma 90.00
_space_group_name_H-M_alt 'P 4/m c c'
_space_group_IT_number 124
_space_group_name_Hall '-P 4 2c'
loop_
_atom_site_label
_atom_site_fract_x
_atom_site_fract_y
_atom_site_fract_z
Nb1 0.149 0.319 0.000
Si1 0.500 0.500 0.250
B1 0.000 0.000 0.250
```

=====

A relaxed CrBiAs2Br crystal, computed with GGA-PBE.

Theoretical density, Mg/m³: 6.84
Formation energy without anion corrections, eV/atom: 0.27
Energy above the most stable polymorph in this dataset, meV/atom: 0

CIF file:
```
data_CrBiAs2Br
_chemical_formula_sum 'Cr1 Bi1 As2 Br1'
_cell_length_a 4.903
_cell_length_b 4.903
_cell_length_c 4.954
_cell_angle_alpha 90.00
_cell_angle_beta 90.00
_cell_angle_gamma 90.00
_space_group_name_H-M_alt 'P 4/m m m'
_space_group_IT_number 123
_space_group_name_Hall '-P 4 2'
loop_
_atom_site_label
_atom_site_fract_x
_atom_site_fract_y
_atom_site_fract_z
Cr1 0.000 0.000 0.000
Bi1 0.500 0.500 0.500
As1 0.000 0.500 0.000
Br1 0.000 0.000 0.500
```

=====

A relaxed GdHoScRu crystal, computed with GGA-PBE.

Theoretical density, Mg/m³: 8.54
Formation energy, eV/atom: -0.02

CIF file:
```
data_GdHoScRu
_chemical_formula_sum 'Gd4 Ho4 Sc4 Ru4'
_cell_length_a 7.142
_cell_length_b 7.142
_cell_length_c 7.142
_cell_angle_alpha 90.00
_cell_angle_beta 90.00
_cell_angle_gamma 90.00
_space_group_name_H-M_alt 'F -4 3 m'
_space_group_IT_number 216
_space_group_name_Hall 'F -4 2 3'
loop_
_atom_site_label
_atom_site_fract_x
_atom_site_fract_y
_atom_site_fract_z
Gd1 0.000 0.000 0.000
Ho1 0.000 0.000 0.500
Sc1 0.250 0.250 0.750
Ru1 0.250 0.250 0.250
```

=====

A relaxed LiCdIn2Hg crystal, computed with GGA-PBE.

Theoretical density, Mg/m³: 7.88
Formation energy, eV/atom: -0.10

CIF file:
```
data_LiCdIn2Hg
_chemical_formula_sum 'Li2 Cd2 In4 Hg2'
_cell_length_a 7.127
_cell_length_b 4.433
_cell_length_c 7.333
_cell_angle_alpha 90.00
_cell_angle_beta 91.12
_cell_angle_gamma 90.00
_space_group_name_H-M_alt 'P 1 21/m 1'
_space_group_IT_number 11
_space_group_name_Hall '-P 2yb'
loop_
_atom_site_label
_atom_site_fract_x
_atom_site_fract_y
_atom_site_fract_z
Li1 0.172 0.250 0.050
Cd1 0.236 0.750 0.772
In1 0.045 0.750 0.323
In2 0.345 0.250 0.452
Hg1 0.449 0.750 0.145
```

=====

Question: Among the records above, which one has the highest theoretical density?
Answer: GdHoScRu

=====

What did the third record say?
A relaxed TlPIN2 crystal, computed with GGA-PBE.

Theoretical density, Mg/m³: 4.78
Formation energy without anion corrections, eV/atom: 2.06
Energy above the most stable polymorph in this dataset, meV/atom: 651

CIF file:
```
data_TlPIN2
_chemical_formula_sum 'Tl1 P1 I1 N2'
_cell_length_a 4.236
_cell_length_b 4.236
_cell_length_c 7.551
_cell_angle_alpha 90.00
_cell_angle_beta 90.00
_cell_angle_gamma 90.00
_space_group_name_H-M_alt 'P 4/m m m'
_space_group_IT_number 123
_space_group_name_Hall '-P 4 2'
loop_
_atom_site_label
_atom_site_fract_x
_atom_site_fract_y
_atom_site_fract_z
Tl1 0.000 0.000 0.000
P1 0.500 0.500 0.500
I1 0.000 0.000 0.500
N1 0.000 0.500 0.000
```

=====

Question: Look up the theoretical density of the first one.
Answer: 5.69 Mg/m³

=====

Question: Look up the theoretical density of the eighth one.
Answer: 7.88 Mg/m³